1.
The following is a GGA+U calculation of a geometry-optimized LiDy2Mn4O8 structure, from the Alexandria database.

Cell lengths 11.9320, 6.3638, 6.1382 Å; angles 90.00, 120.76, 90.00 degrees
Space group Cm (No. 8)
Inequivalent atoms, fractional coordinates:
1 Li 0.0000 0.0000 0.0000 (multiplicity 2)
2 Dy 0.2542 0.0000 0.2728 (multiplicity 2)
3 Dy 0.4755 0.0000 0.9732 (multiplicity 2)
4 Mn 0.0879 0.2393 0.5869 (multiplicity 4)
5 Mn 0.3084 0.5000 0.0626 (multiplicity 2)
6 Mn 0.3264 0.5000 0.5662 (multiplicity 2)
7 O 0.1022 0.0000 0.3570 (multiplicity 2)
8 O 0.1035 0.5000 0.8309 (multiplicity 2)
9 O 0.1128 0.5000 0.3725 (multiplicity 2)
10 O 0.1195 0.0000 0.8733 (multiplicity 2)
11 O 0.3564 0.2903 0.8321 (multiplicity 4)
12 O 0.3663 0.2891 0.3789 (multiplicity 4)

Computed properties:
- Theoretical density: 5636 kg/m3
- Relative energy among the computed polymorphs: 0.0000 eV per atom

---

2.
The following is a GGA+U calculation of a geometry-optimized LiDy2Mn4O8 structure, from the Alexandria database.

Cell lengths 6.2108, 6.2532, 6.7419 Å; angles 114.83, 117.18, 90.76 degrees
Space group P1 (No. 1)
Inequivalent atoms, fractional coordinates:
1 Li 0.0000 0.0000 0.0000 (multiplicity 1)
2 Dy 0.2406 0.7440 0.4782 (multiplicity 1)
3 Dy 0.5074 0.5652 0.0014 (multiplicity 1)
4 Mn 0.4135 0.1898 0.3045 (multiplicity 1)
5 Mn 0.8418 0.6189 0.6753 (multiplicity 1)
6 Mn 0.8585 0.1459 0.7107 (multiplicity 1)
7 Mn 0.9037 0.1929 0.3106 (multiplicity 1)
8 O 0.0869 0.8764 0.7378 (multiplicity 1)
9 O 0.0931 0.4226 0.7194 (multiplicity 1)
10 O 0.1023 0.3521 0.1925 (multiplicity 1)
11 O 0.1356 0.9366 0.2697 (multiplicity 1)
12 O 0.6365 0.4148 0.7175 (multiplicity 1)
13 O 0.6408 0.4211 0.2647 (multiplicity 1)
14 O 0.6438 0.9455 0.2834 (multiplicity 1)
15 O 0.6540 0.8679 0.7352 (multiplicity 1)

Computed properties:
- Theoretical density: 5521 kg/m3
- Relative energy among the computed polymorphs: 0.0736 eV per atom